VASP calculation (PBE) on a geometry-optimized KTiB structure.

POSCAR file:
```
KTiB
1.0
1.890 3.360 2.715
-4.610 -0.948 0.288
0.935 -3.446 3.613
K B Ti
2 2 2
Cartesian
0.658 -2.426 2.543 K
0.191 -0.703 0.737 K
0.198 0.175 3.740 B
-2.436 0.462 1.124 B
-0.240 1.791 2.046 Ti
-1.940 -1.368 3.043 Ti
```

## Properties
Theoretical density in kg/m3: 3320
SG: P6_3mc, No. 186
Excess energy over the best structure of this formula in the dataset in eV/atom: 1.029
DOS(E_F) in states/eV/atom: 0.196